1.
First-principles (PBE) data for SmAlZn2Ag after structural relaxation, as listed in Alexandria via LeMat-Bulk.

```
data_SmAlZn2Ag
_space_group_name_H-M_alt 'I -4 m 2'
_space_group_IT_number 119
_space_group_name_Hall 'I -4 -2'
_cell_length_a 4.204
_cell_length_b 4.204
_cell_length_c 11.146
_cell_angle_alpha 90.00
_cell_angle_beta 90.00
_cell_angle_gamma 90.00
loop_
_atom_site_label
_atom_site_type_symbol
_atom_site_fract_x
_atom_site_fract_y
_atom_site_fract_z
_atom_site_occupancy
Sm1 Sm 0.000 0.000 0.000 1
Al1 Al 0.000 0.500 0.250 1
Zn1 Zn 0.000 0.000 0.390 1
Ag1 Ag 0.000 0.500 0.750 1
```

---

2.
First-principles (PBE) data for SmAl2Zn4Ag after structural relaxation, as listed in Alexandria via LeMat-Bulk.

```
data_SmAl2Zn4Ag
_space_group_name_H-M_alt 'R -3 m'
_space_group_IT_number 166
_space_group_name_Hall '-R 3 2"'
_cell_length_a 4.3702
_cell_length_b 4.3702
_cell_length_c 26.4188
_cell_angle_alpha 90.00
_cell_angle_beta 90.00
_cell_angle_gamma 120.00
loop_
_atom_site_label
_atom_site_type_symbol
_atom_site_fract_x
_atom_site_fract_y
_atom_site_fract_z
_atom_site_occupancy
Sm1 Sm 0.0000 0.0000 0.0000 1
Al1 Al 0.0000 0.0000 0.2507 1
Zn1 Zn 0.0000 0.0000 0.1245 1
Zn2 Zn 0.0000 0.0000 0.3977 1
Ag1 Ag 0.0000 0.0000 0.5000 1
```

---

3.
First-principles (PBE) data for SmAl2ZnAg after structural relaxation, as listed in Alexandria via LeMat-Bulk.

```
data_SmAl2ZnAg
_space_group_name_H-M_alt 'I -4 m 2'
_space_group_IT_number 119
_space_group_name_Hall 'I -4 -2'
_cell_length_a 4.310
_cell_length_b 4.310
_cell_length_c 10.811
_cell_angle_alpha 90.00
_cell_angle_beta 90.00
_cell_angle_gamma 90.00
loop_
_atom_site_label
_atom_site_type_symbol
_atom_site_fract_x
_atom_site_fract_y
_atom_site_fract_z
_atom_site_occupancy
Sm1 Sm 0.000 0.000 0.000 1
Al1 Al 0.000 0.000 0.383 1
Zn1 Zn 0.000 0.500 0.750 1
Ag1 Ag 0.000 0.500 0.250 1
```

---

4.
First-principles (PBE) data for SmAl3ZnAg after structural relaxation, as listed in Alexandria via LeMat-Bulk.

```
data_SmAl3ZnAg
_space_group_name_H-M_alt 'C m c m'
_space_group_IT_number 63
_space_group_name_Hall '-C 2c 2'
_cell_length_a 6.020
_cell_length_b 12.783
_cell_length_c 6.319
_cell_angle_alpha 90.00
_cell_angle_beta 90.00
_cell_angle_gamma 90.00
loop_
_atom_site_label
_atom_site_type_symbol
_atom_site_fract_x
_atom_site_fract_y
_atom_site_fract_z
_atom_site_occupancy
Sm1 Sm 0.000 0.195 0.250 1
Al1 Al 0.000 0.371 0.750 1
Al2 Al 0.217 0.000 0.000 1
Zn1 Zn 0.000 0.413 0.250 1
Ag1 Ag 0.000 0.158 0.750 1
```

---

5.
First-principles (PBE) data for Sm4AlZnAg2 after structural relaxation, as listed in Alexandria via LeMat-Bulk.

```
data_Sm4AlZnAg2
_space_group_name_H-M_alt 'R -3 m'
_space_group_IT_number 166
_space_group_name_Hall '-R 3 2"'
_cell_length_a 5.2276
_cell_length_b 5.2276
_cell_length_c 25.6285
_cell_angle_alpha 90.00
_cell_angle_beta 90.00
_cell_angle_gamma 120.00
loop_
_atom_site_label
_atom_site_type_symbol
_atom_site_fract_x
_atom_site_fract_y
_atom_site_fract_z
_atom_site_occupancy
Sm1 Sm 0.0000 0.0000 0.1231 1
Sm2 Sm 0.0000 0.0000 0.3733 1
Al1 Al 0.0000 0.0000 0.5000 1
Zn1 Zn 0.0000 0.0000 0.0000 1
Ag1 Ag 0.0000 0.0000 0.2470 1
```

---

6.
First-principles (PBE) data for Sm4AlZn2Ag after structural relaxation, as listed in Alexandria via LeMat-Bulk.

```
data_Sm4AlZn2Ag
_space_group_name_H-M_alt 'R -3 m'
_space_group_IT_number 166
_space_group_name_Hall '-R 3 2"'
_cell_length_a 5.1819
_cell_length_b 5.1819
_cell_length_c 25.5759
_cell_angle_alpha 90.00
_cell_angle_beta 90.00
_cell_angle_gamma 120.00
loop_
_atom_site_label
_atom_site_type_symbol
_atom_site_fract_x
_atom_site_fract_y
_atom_site_fract_z
_atom_site_occupancy
Sm1 Sm 0.0000 0.0000 0.1240 1
Sm2 Sm 0.0000 0.0000 0.3744 1
Al1 Al 0.0000 0.0000 0.0000 1
Zn1 Zn 0.0000 0.0000 0.2520 1
Ag1 Ag 0.0000 0.0000 0.5000 1
```

---

7.
First-principles (PBE) data for SmAlZn2Ag4 after structural relaxation, as listed in Alexandria via LeMat-Bulk.

```
data_SmAlZn2Ag4
_space_group_name_H-M_alt 'R -3 m'
_space_group_IT_number 166
_space_group_name_Hall '-R 3 2"'
_cell_length_a 4.5377
_cell_length_b 4.5377
_cell_length_c 25.7569
_cell_angle_alpha 90.00
_cell_angle_beta 90.00
_cell_angle_gamma 120.00
loop_
_atom_site_label
_atom_site_type_symbol
_atom_site_fract_x
_atom_site_fract_y
_atom_site_fract_z
_atom_site_occupancy
Sm1 Sm 0.0000 0.0000 0.0000 1
Al1 Al 0.0000 0.0000 0.5000 1
Zn1 Zn 0.0000 0.0000 0.2507 1
Ag1 Ag 0.0000 0.0000 0.1327 1
Ag2 Ag 0.0000 0.0000 0.3989 1
```

---

8.
First-principles (PBE) data for SmAlZnAg6 after structural relaxation, as listed in Alexandria via LeMat-Bulk.

```
data_SmAlZnAg6
_space_group_name_H-M_alt 'I m m a'
_space_group_IT_number 74
_space_group_name_Hall '-I 2b 2'
_cell_length_a 7.470
_cell_length_b 9.089
_cell_length_c 10.950
_cell_angle_alpha 90.00
_cell_angle_beta 90.00
_cell_angle_gamma 90.00
loop_
_atom_site_label
_atom_site_type_symbol
_atom_site_fract_x
_atom_site_fract_y
_atom_site_fract_z
_atom_site_occupancy
Sm1 Sm 0.000 0.250 0.203 1
Al1 Al 0.250 0.250 0.750 1
Zn1 Zn 0.000 0.000 0.000 1
Ag1 Ag 0.000 0.250 0.507 1
Ag2 Ag 0.000 0.250 0.906 1
Ag3 Ag 0.191 0.007 0.372 1
```

---

9.
First-principles (PBE) data for Sm2AlZn4Ag3 after structural relaxation, as listed in Alexandria via LeMat-Bulk.

```
data_Sm2AlZn4Ag3
_space_group_name_H-M_alt 'P -4 m 2'
_space_group_IT_number 115
_cell_length_a 4.152
_cell_length_b 4.152
_cell_length_c 11.701
_cell_angle_alpha 90.00
_cell_angle_beta 90.00
_cell_angle_gamma 90.00
loop_
_space_group_symop_operation_xyz
'x,y,z'
'y,-x,-z'
'-x,-y,z'
'-y,x,-z'
'-x,y,z'
'-y,-x,-z'
'x,-y,z'
'y,x,-z'
loop_
_atom_site_label
_atom_site_type_symbol
_atom_site_fract_x
_atom_site_fract_y
_atom_site_fract_z
_atom_site_occupancy
Sm1 Sm 0.000 0.500 0.243 1
Al1 Al 0.500 0.500 0.000 1
Zn1 Zn 0.000 0.000 0.500 1
Zn2 Zn 0.000 0.500 0.863 1
Zn3 Zn 0.500 0.500 0.500 1
Ag1 Ag 0.000 0.000 0.000 1
Ag2 Ag 0.000 0.500 0.643 1
```

---

10.
First-principles (PBE) data for SmAlZn4Ag2 after structural relaxation, as listed in Alexandria via LeMat-Bulk.

```
data_SmAlZn4Ag2
_space_group_name_H-M_alt 'R -3 m'
_space_group_IT_number 166
_space_group_name_Hall '-R 3 2"'
_cell_length_a 4.4033
_cell_length_b 4.4033
_cell_length_c 26.6274
_cell_angle_alpha 90.00
_cell_angle_beta 90.00
_cell_angle_gamma 120.00
loop_
_atom_site_label
_atom_site_type_symbol
_atom_site_fract_x
_atom_site_fract_y
_atom_site_fract_z
_atom_site_occupancy
Sm1 Sm 0.0000 0.0000 0.0000 1
Al1 Al 0.0000 0.0000 0.5000 1
Zn1 Zn 0.0000 0.0000 0.1254 1
Zn2 Zn 0.0000 0.0000 0.3962 1
Ag1 Ag 0.0000 0.0000 0.2419 1
```

---

11.
First-principles (PBE) data for Sm2Al4ZnAg3 after structural relaxation, as listed in Alexandria via LeMat-Bulk.

```
data_Sm2Al4ZnAg3
_space_group_name_H-M_alt 'P -4 m 2'
_space_group_IT_number 115
_cell_length_a 4.344
_cell_length_b 4.344
_cell_length_c 10.774
_cell_angle_alpha 90.00
_cell_angle_beta 90.00
_cell_angle_gamma 90.00
loop_
_space_group_symop_operation_xyz
'x,y,z'
'y,-x,-z'
'-x,-y,z'
'-y,x,-z'
'-x,y,z'
'-y,-x,-z'
'x,-y,z'
'y,x,-z'
loop_
_atom_site_label
_atom_site_type_symbol
_atom_site_fract_x
_atom_site_fract_y
_atom_site_fract_z
_atom_site_occupancy
Sm1 Sm 0.000 0.500 0.246 1
Al1 Al 0.000 0.000 0.500 1
Al2 Al 0.000 0.500 0.867 1
Al3 Al 0.500 0.500 0.500 1
Zn1 Zn 0.500 0.500 0.000 1
Ag1 Ag 0.000 0.000 0.000 1
Ag2 Ag 0.000 0.500 0.634 1
```

---

12.
First-principles (PBE) data for SmZrAlAg after structural relaxation, as listed in Alexandria via LeMat-Bulk.

```
data_SmZrAlAg
_space_group_name_H-M_alt 'F -4 3 m'
_space_group_IT_number 216
_space_group_name_Hall 'F -4 2 3'
_cell_length_a 7.142
_cell_length_b 7.142
_cell_length_c 7.142
_cell_angle_alpha 90.00
_cell_angle_beta 90.00
_cell_angle_gamma 90.00
loop_
_atom_site_label
_atom_site_type_symbol
_atom_site_fract_x
_atom_site_fract_y
_atom_site_fract_z
_atom_site_occupancy
Sm1 Sm 0.000 0.000 0.000 1
Zr1 Zr 0.000 0.000 0.500 1
Al1 Al 0.250 0.250 0.750 1
Ag1 Ag 0.250 0.250 0.250 1
```

---

Number 1: total DFT energy (no corrections) -30.83 eV/cell. Number 2: total DFT energy (no corrections) -64.39 eV/cell. Number 3: total DFT energy (no corrections) -36.14 eV/cell. Number 4: total DFT energy (no corrections) -82.28 eV/cell. Number 5: total DFT energy (no corrections) -95.81 eV/cell. Number 6: total DFT energy (no corrections) -91.70 eV/cell. Number 7: total DFT energy (no corrections) -70.35 eV/cell. Number 8: total DFT energy (no corrections) -105.63 eV/cell. Number 9: total DFT energy (no corrections) -29.40 eV/cell. Number 10: total DFT energy (no corrections) -60.66 eV/cell. Number 11: total DFT energy (no corrections) -37.70 eV/cell. Number 12: total DFT energy (no corrections) -82.12 eV/cell.